Record 1
Material: HfPdF3
Method: DFT, GGA-PBE
State: relaxed

Calculated values
Space-group type ... No. 221
Energy ... -0.3482 Ry per atom
Spin magnetization ... 0.0 μB per cell
ΔE_f (raw) ... -0.5854 eV per atom
Excess energy over the best structure of this formula in the dataset ... 1512 meV/atom

Cell: 4.300 4.300 4.300 Å, 90.00 90.00 90.00°
Element x y z (fractional)
F 0.000 0.000 0.500
Hf 0.500 0.500 0.500
Pd 0.000 0.000 0.000
F 0.000 0.500 0.000
F 0.500 0.000 0.000

Record 2
Material: NaInF
Method: DFT, GGA-PBE
State: relaxed

Calculated values
Space-group type ... No. 65
Energy ... -0.2613 Ry per atom
Spin magnetization ... 0.0 μB per cell
ΔE_f (raw) ... -1.5784 eV per atom
Excess energy over the best structure of this formula in the dataset ... 0 meV/atom

Cell: 12.811 6.345 3.073 Å, 90.00 90.00 90.00°
Element x y z (fractional)
In 0.500 0.000 0.000
In 0.000 0.500 0.000
Na 0.250 0.250 0.500
Na 0.250 0.750 0.500
F 0.211 0.000 0.000
F 0.289 0.500 0.000
F 0.789 0.000 0.000
Na 0.750 0.750 0.500
Na 0.750 0.250 0.500
F 0.711 0.500 0.000
In 0.500 0.500 0.000
In 0.000 0.000 0.000